VASP calculation (GGA-PBE) on a geometry-optimized Mg2TlHPd structure. Values from VASP.

Raw total energy (eV per atom): -3.047
V (Å³/cell): 82.1

Cell and atoms, written as Quantum ESPRESSO input:
```
&SYSTEM
  ibrav = 0, nat = 5, ntyp = 4
/
ATOMIC_SPECIES
Tl 204.38 Tl.upf
Mg 24.30 Mg.upf
Pd 106.42 Pd.upf
H 1.01 H.upf
ATOMIC_POSITIONS crystal
Tl 0.5000 0.5000 0.5000
Mg 0.5000 0.0000 0.0000
Mg 0.0000 0.5000 0.0000
Pd 0.0000 0.0000 0.5000
H 0.0000 0.0000 0.0000
CELL_PARAMETERS angstrom
4.7823 0.0000 0.0000
0.0000 4.7823 0.0000
0.0000 0.0000 3.5917
```